The following is a PBE calculation of Tb2AlCo after structural relaxation, from the Alexandria database.

Cell and atoms, written as CIF:
```
data_Tb2AlCo
_chemical_formula_sum 'Tb2 Al1 Co1'
_symmetry_space_group_name_H-M 'P 1'
_symmetry_Int_Tables_number 1
_symmetry_space_group_name_Hall 'P 1'
_cell_length_a 3.444
_cell_length_b 3.444
_cell_length_c 7.264
_cell_angle_alpha 90.00
_cell_angle_beta 90.00
_cell_angle_gamma 90.00
loop_
_atom_site_label
_atom_site_type_symbol
_atom_site_fract_x
_atom_site_fract_y
_atom_site_fract_z
Tb1 Tb 0.000 0.000 0.225
Tb2 Tb 0.000 0.000 0.775
Al1 Al 0.500 0.500 0.500
Co1 Co 0.500 0.500 0.000
```

Calculated total energy (eV per cell): -21.151
Space group: No. 123
Calculated formation energy (eV/f.u.): -1.0